# 1
The following is a PBEsol calculation of crystalline Ca2YTl at its relaxed geometry, from Alexandria via LeMat-Bulk.

Values from the calculation:
Calculated volume: 129.86 Å³ per cell
ΔE_f: -0.8 eV per formula unit
Density of states at the Fermi level: 4.5 states/eV per cell
Excess energy over the best structure of this formula in the dataset: 19.6 meV/atom
Space-group type: P4mm

```
Ca2YTl
1.0
-3.102 -0.785 -1.812
1.931 -1.913 -2.477
-1.079 -7.941 5.291
Tl Ca Y
1 2 1
Cartesian
-0.548 -4.031 2.686 Tl
-0.909 -3.730 -0.558 Ca
-1.066 -7.842 5.225 Ca
-1.347 -6.948 1.586 Y
```

# 2
The following is a PBEsol calculation of crystalline CaY2Tl at its relaxed geometry, from Alexandria via LeMat-Bulk.

Values from the calculation:
Calculated volume: 119.75 Å³ per cell
ΔE_f: -0.9 eV per formula unit
Density of states at the Fermi level: 3.6 states/eV per cell
Excess energy over the best structure of this formula in the dataset: 0.0 meV/atom
Space-group type: Immm

```
CaY2Tl
1.0
-0.724 -2.390 -2.836
5.314 -0.770 -0.708
-2.435 -2.875 5.563
Y Ca Tl
2 1 1
Cartesian
2.215 -4.116 0.386 Y
-0.060 -1.919 1.633 Y
2.657 -0.385 -0.354 Ca
-0.362 -1.195 -1.418 Tl
```

# 3
The following is a PBEsol calculation of crystalline Ca2YTl at its relaxed geometry, from Alexandria via LeMat-Bulk.

Values from the calculation:
Calculated volume: 122.70 Å³ per cell
ΔE_f: -0.6 eV per formula unit
Density of states at the Fermi level: 3.1 states/eV per cell
Excess energy over the best structure of this formula in the dataset: 65.6 meV/atom
Space-group type: Pmm2

```
Ca2YTl
1.0
-0.038 -1.057 3.443
2.807 -3.567 -1.064
5.832 4.187 1.350
Tl Ca Y
1 2 1
Cartesian
3.014 2.164 0.697 Tl
3.007 -1.147 1.565 Ca
5.754 4.131 1.332 Ca
5.575 0.696 2.159 Y
```

# 4
The following is a PBEsol calculation of crystalline Ca2TlZn2 at its relaxed geometry, from Alexandria via LeMat-Bulk.

Values from the calculation:
Calculated volume: 130.79 Å³ per cell
ΔE_f: -0.4 eV per formula unit
Density of states at the Fermi level: 2.6 states/eV per cell
Space-group type: I4/mmm

```
Ca2TlZn2
1.0
-2.549 4.818 1.573
-2.356 -3.165 -4.076
0.058 -4.391 3.591
Ca Zn Tl
2 2 1
Cartesian
-3.027 -1.063 -1.373 Ca
-1.820 -1.676 2.461 Ca
-1.485 -4.881 -0.313 Zn
-0.814 -2.675 -0.172 Zn
0.000 0.000 0.000 Tl
```

# 5
The following is a PBEsol calculation of crystalline CaTl2Zn2 at its relaxed geometry, from Alexandria via LeMat-Bulk.

Values from the calculation:
Calculated volume: 115.31 Å³ per cell
ΔE_f: -0.5 eV per formula unit
Density of states at the Fermi level: 2.1 states/eV per cell
Excess energy over the best structure of this formula in the dataset: 44.0 meV/atom
Space-group type: I4/mmm

```
CaTl2Zn2
1.0
4.334 0.000 0.000
0.000 4.334 0.000
-2.167 -2.167 6.140
Tl Ca Zn
2 1 2
Cartesian
2.167 2.167 1.443 Tl
0.000 0.000 4.696 Tl
0.000 0.000 0.000 Ca
0.000 2.167 3.070 Zn
2.167 0.000 3.070 Zn
```

# 6
The following is a PBEsol calculation of crystalline Ca2TlZn2 at its relaxed geometry, from Alexandria via LeMat-Bulk.

Values from the calculation:
Calculated volume: 237.88 Å³ per cell
ΔE_f: -1.4 eV per formula unit
Density of states at the Fermi level: 5.8 states/eV per cell
Space-group type: P4/mbm

```
Ca2TlZn2
1.0
4.060 0.000 0.000
0.000 7.654 0.000
0.000 0.000 7.654
Ca Zn Tl
4 4 2
Cartesian
2.030 6.281 2.453 Ca
2.030 1.374 5.201 Ca
2.030 2.453 1.374 Ca
2.030 5.201 6.281 Ca
0.000 4.712 0.885 Zn
0.000 0.885 2.942 Zn
0.000 6.769 4.712 Zn
0.000 2.942 6.769 Zn
0.000 3.827 3.827 Tl
0.000 0.000 0.000 Tl
```

# 7
The following is a PBEsol calculation of crystalline CaTl2Zn2 at its relaxed geometry, from Alexandria via LeMat-Bulk.

Values from the calculation:
Calculated volume: 115.86 Å³ per cell
ΔE_f: -0.7 eV per formula unit
Density of states at the Fermi level: 2.0 states/eV per cell
Excess energy over the best structure of this formula in the dataset: 0.0 meV/atom
Space-group type: I4/mmm

```
CaTl2Zn2
1.0
-4.111 -0.196 -1.806
1.743 -1.685 -3.785
0.531 -4.369 4.859
Zn Ca Tl
2 1 2
Cartesian
-1.319 -2.036 -2.370 Zn
-0.519 -4.215 1.638 Zn
0.000 0.000 0.000 Ca
-2.382 -2.753 0.129 Tl
0.545 -3.498 -0.860 Tl
```

# 8
The following is a PBEsol calculation of crystalline Ca2ZrTl at its relaxed geometry, from Alexandria via LeMat-Bulk.

Values from the calculation:
Calculated volume: 111.05 Å³ per cell
ΔE_f: 0.7 eV per formula unit
Density of states at the Fermi level: 4.6 states/eV per cell
Excess energy over the best structure of this formula in the dataset: 75.9 meV/atom
Space-group type: P4/mmm

```
Ca2ZrTl
1.0
3.735 0.000 0.000
0.000 5.453 0.000
0.000 0.000 5.453
Zr Ca Tl
1 2 1
Cartesian
1.867 0.000 0.000 Zr
0.000 0.000 2.726 Ca
0.000 2.726 0.000 Ca
1.867 2.726 2.726 Tl
```